No. 1
{
  "formula": "Tm3HSe2",
  "functional": "PBE",
  "state": "optimized geometry",
  "lattice_angstrom": [[-3.800, -1.357, 3.970], [5.727, -1.145, 5.090], [-3.448, 6.872, -0.952]],
  "species": ["Tm", "Tm", "Tm", "Se", "Se", "Se", "H", "Tm", "Tm", "Se", "H", "Tm"],
  "frac_coords": [[0.970, 0.591, 0.885], [0.470, 0.115, 0.409], [0.970, 0.885, 0.591], [0.970, 0.195, 0.512], [0.470, 0.805, 0.488], [0.970, 0.512, 0.195], [0.101, 0.823, 0.823], [0.977, 0.108, 0.108], [0.470, 0.409, 0.115], [0.470, 0.488, 0.805], [0.601, 0.177, 0.177], [0.477, 0.892, 0.892]],
  "magnetic_moment_mub_per_cell": 0.0,
  "e_tot_ev_per_atom": -5.027
}

***

No. 2
{
  "formula": "GeBiPb",
  "functional": "PBE",
  "state": "optimized geometry",
  "lattice_angstrom": [[-1.858, -2.779, -0.374], [2.924, -1.376, -4.304], [1.484, -1.653, 4.902]],
  "species": ["Pb", "Ge", "Bi"],
  "frac_coords": [[0.674, 0.333, 0.667], [0.142, 0.000, 0.000], [0.184, 0.667, 0.333]],
  "magnetic_moment_mub_per_cell": 0.0,
  "formation_enthalpy_0k_ev_per_fu": 0.55
}

***

No. 3
{
  "formula": "MgBeAg2",
  "functional": "PBE",
  "state": "optimized geometry",
  "lattice_angstrom": [[0.000, 3.145, 3.145], [3.145, 0.000, 3.145], [3.145, 3.145, 0.000]],
  "species": ["Ag", "Be", "Ag", "Mg"],
  "frac_coords": [[0.750, 0.750, 0.750], [0.000, 0.000, 0.000], [0.250, 0.250, 0.250], [0.500, 0.500, 0.500]],
  "e_above_lowest_polymorph_ev_per_atom": 0.0523,
  "magnetic_moment_mub_per_cell": 0.0,
  "formation_enthalpy_0k_ev_per_fu": 0.16
}